A geometry-optimized PmNi6 structure, computed with GGA-PBE.

```
PmNi6
1.0
7.821 0.000 0.000
0.000 4.893 0.000
0.000 0.000 9.857
Pm Ni
4 24
Direct
0.240 0.250 0.060
0.260 0.750 0.560
0.740 0.250 0.440
0.760 0.750 0.940
0.064 0.750 0.095
0.068 0.005 0.309
0.068 0.495 0.309
0.104 0.250 0.518
0.149 0.750 0.852
0.180 0.250 0.757
0.320 0.750 0.257
0.351 0.250 0.352
0.396 0.750 0.018
0.432 0.505 0.809
0.432 0.995 0.809
0.436 0.250 0.595
0.564 0.750 0.405
0.568 0.005 0.191
0.568 0.495 0.191
0.604 0.250 0.982
0.649 0.750 0.648
0.680 0.250 0.743
0.820 0.750 0.243
0.851 0.250 0.148
0.896 0.750 0.482
0.932 0.505 0.691
0.932 0.995 0.691
0.936 0.250 0.905
```

Energy (Ry per atom): -0.4259
Calculated formation energy (eV per formula unit): -1.122
Excess energy over the best structure of this formula in the dataset (kJ/mol of formula units): 0.0

A geometry-optimized Pm3Ni2 structure, computed with GGA-PBE.

```
Pm3Ni2
1.0
3.439 1.985 6.244
-3.439 1.985 6.244
0.000 -3.971 6.244
Pm Ni
6 4
Direct
0.124 0.750 0.376
0.250 0.624 0.876
0.376 0.124 0.750
0.624 0.876 0.250
0.750 0.376 0.124
0.876 0.250 0.624
0.185 0.185 0.185
0.315 0.315 0.315
0.685 0.685 0.685
0.815 0.815 0.815
```

Energy (Ry per atom): -0.3950
Calculated formation energy (eV per formula unit): -1.059
Excess energy over the best structure of this formula in the dataset (kJ/mol of formula units): 20.6

A geometry-optimized Pm3Ni structure, computed with GGA-PBE.

```
Pm3Ni
1.0
-5.906 5.906 3.141
5.906 -5.906 3.141
5.906 5.906 -3.141
Pm Ni
12 4
Direct
0.102 0.407 0.499
0.111 0.249 0.861
0.236 0.735 0.899
0.265 0.164 0.501
0.388 0.250 0.139
0.397 0.898 0.305
0.593 0.092 0.695
0.663 0.764 0.499
0.750 0.889 0.138
0.751 0.612 0.862
0.836 0.337 0.101
0.908 0.603 0.501
0.249 0.457 0.206
0.251 0.044 0.794
0.543 0.749 0.792
0.956 0.751 0.208
```

Energy (Ry per atom): -0.3742
Calculated formation energy (eV per formula unit): -0.333
Excess energy over the best structure of this formula in the dataset (kJ/mol of formula units): 30.9

Question: Which formula does entry 1 have?
Answer: PmNi6